Record 1
A relaxed structure of SrCoTc2, computed with PBE.

Unit cell a=3.1431 b=3.1608 c=7.4386 alpha=90.00 beta=90.00 gamma=90.00
With the nearest neighbours (Å) after each atom.
Atoms (fractional coordinates):
Sr1 0.0000 0.0000 0.0000  4 Sr 3.14-3.16, 4 Co 3.22, 4 Tc 3.33
Co1 0.5000 0.5000 0.6868  5 Tc 2.59-2.63
Tc1 0.0000 0.0000 0.5102  4 Co 2.59, 4 Tc 2.59
Tc2 0.5000 0.5000 0.3328  4 Tc 2.59, 1 Co 2.63

Results
* excess energy over the best structure of this formula in the dataset: 0.0 meV per atom
* density: 7.70 g/cm3
* crystal system: orthorhombic

---

Record 2
A relaxed structure of Sr2CoTc, computed with PBE.

Unit cell a=7.2005 b=7.2005 c=7.2005 alpha=90.00 beta=90.00 gamma=90.00
With the nearest neighbours (Å) after each atom.
Atoms (fractional coordinates):
Sr1 0.0000 0.0000 0.0000  4 Tc 3.12, 4 Sr 3.12
Sr2 0.0000 0.5000 0.5000  4 Tc 3.12, 4 Sr 3.12
Sr3 0.2500 0.2500 0.2500  4 Co 3.12, 4 Sr 3.12
Sr4 0.2500 0.7500 0.7500  4 Co 3.12, 4 Sr 3.12
Sr5 0.5000 0.0000 0.5000  4 Tc 3.12, 4 Sr 3.12
Sr6 0.5000 0.5000 0.0000  4 Tc 3.12, 4 Sr 3.12
Sr7 0.7500 0.2500 0.7500  4 Co 3.12, 4 Sr 3.12
Sr8 0.7500 0.7500 0.2500  4 Co 3.12, 4 Sr 3.12
Co1 0.0000 0.0000 0.5000  4 Tc 3.12, 4 Sr 3.12
Co2 0.0000 0.5000 0.0000  4 Tc 3.12, 4 Sr 3.12
Co3 0.5000 0.0000 0.0000  4 Tc 3.12, 4 Sr 3.12
Co4 0.5000 0.5000 0.5000  4 Tc 3.12, 4 Sr 3.12
Tc1 0.2500 0.2500 0.7500  4 Co 3.12, 4 Sr 3.12
Tc2 0.2500 0.7500 0.2500  4 Co 3.12, 4 Sr 3.12
Tc3 0.7500 0.2500 0.2500  4 Co 3.12, 4 Sr 3.12
Tc4 0.7500 0.7500 0.7500  4 Co 3.12, 4 Sr 3.12

Results
* excess energy over the best structure of this formula in the dataset: 731.3 meV per atom
* density: 5.91 g/cm3
* crystal system: cubic

---

Record 3
A relaxed structure of Sr2CoTc, computed with PBE.

Unit cell a=3.8761 b=5.0432 c=11.1240 alpha=90.00 beta=90.00 gamma=90.00
With the nearest neighbours (Å) after each atom.
Atoms (fractional coordinates):
Sr1 0.0000 0.0000 0.0000  2 Co 3.28, 4 Tc 3.33, 4 Sr 3.54-3.64
Sr2 0.0000 0.5000 0.2233  2 Tc 3.27, 4 Co 3.33, 4 Sr 3.54-3.64
Sr3 0.5000 0.0000 0.7233  2 Tc 3.27, 4 Co 3.33, 4 Sr 3.54-3.64
Sr4 0.5000 0.5000 0.5000  2 Co 3.28, 4 Tc 3.33, 4 Sr 3.54-3.64
Co1 0.0000 0.5000 0.8112  2 Tc 2.23
Co2 0.5000 0.0000 0.3112  2 Tc 2.23
Tc1 0.0000 0.0000 0.4101  2 Co 2.23
Tc2 0.5000 0.5000 0.9101  2 Co 2.23

Results
* excess energy over the best structure of this formula in the dataset: 261.0 meV per atom
* density: 5.07 g/cm3
* crystal system: orthorhombic

---

Record 4
A relaxed structure of SrCo3Tc, computed with PBE.

Unit cell a=4.5570 b=4.5570 c=4.5570 alpha=90.00 beta=90.00 gamma=90.00
With the nearest neighbours (Å) after each atom.
Atoms (fractional coordinates):
Sr1 0.0000 0.0000 0.0000  6 Co 2.28
Co1 0.0000 0.0000 0.5000  2 Sr 2.28
Co2 0.0000 0.5000 0.0000  2 Sr 2.28
Co3 0.5000 0.0000 0.0000  2 Sr 2.28
Tc1 0.5000 0.5000 0.5000  12 Co 3.22

Results
* excess energy over the best structure of this formula in the dataset: 1622.4 meV per atom
* density: 6.36 g/cm3
* crystal system: cubic

---

Record 5
A relaxed structure of SrCoTc2, computed with PBE.

Unit cell a=3.7923 b=3.7923 c=9.7499 alpha=90.00 beta=90.00 gamma=90.00
With the nearest neighbours (Å) after each atom.
Atoms (fractional coordinates):
Sr1 0.0000 0.0000 0.0000  4 Co 2.68
Sr2 0.5000 0.5000 0.5000  4 Co 2.68
Co1 0.0000 0.0000 0.5000  4 Sr 2.68
Co2 0.5000 0.5000 0.0000  4 Sr 2.68
Tc1 0.0000 0.5000 0.2500  4 Tc 2.68
Tc2 0.0000 0.5000 0.7500  4 Tc 2.68
Tc3 0.5000 0.0000 0.2500  4 Tc 2.68
Tc4 0.5000 0.0000 0.7500  4 Tc 2.68

Results
* excess energy over the best structure of this formula in the dataset: 577.1 meV per atom
* density: 8.11 g/cm3
* crystal system: tetragonal

---

Record 6
A relaxed structure of SrCoTc2, computed with PBE.

Unit cell a=11.4632 b=2.7620 c=4.7219 alpha=90.00 beta=114.24 gamma=90.00
With the nearest neighbours (Å) after each atom.
Atoms (fractional coordinates):
Sr1 0.0000 0.0000 0.0000  4 Co 2.74, 2 Sr 2.76
Sr2 0.5000 0.5000 0.0000  4 Co 2.74, 2 Sr 2.76
Co1 0.0000 0.5000 0.5000  4 Tc 2.59, 4 Sr 2.74, 2 Co 2.76
Co2 0.5000 0.0000 0.5000  4 Tc 2.59, 4 Sr 2.74, 2 Co 2.76
Tc1 0.2097 0.0000 0.7094  2 Co 2.59, 6 Tc 2.76-2.87
Tc2 0.2903 0.5000 0.2906  2 Co 2.59, 6 Tc 2.76-2.87
Tc3 0.7097 0.5000 0.7094  2 Co 2.59, 6 Tc 2.76-2.87
Tc4 0.7903 0.0000 0.2906  2 Co 2.59, 6 Tc 2.76-2.87

Results
* excess energy over the best structure of this formula in the dataset: 163.0 meV per atom
* density: 8.35 g/cm3
* crystal system: monoclinic

---

Record 7
A relaxed structure of SrCoTc2, computed with PBE.

Unit cell a=3.7521 b=3.7521 c=4.9821 alpha=90.00 beta=90.00 gamma=90.00
With the nearest neighbours (Å) after each atom.
Atoms (fractional coordinates):
Sr1 0.0000 0.0000 0.0000  4 Co 2.65
Co1 0.5000 0.5000 0.0000  4 Sr 2.65
Tc1 0.0000 0.5000 0.5000  4 Tc 2.65
Tc2 0.5000 0.0000 0.5000  4 Tc 2.65

Results
* excess energy over the best structure of this formula in the dataset: 547.8 meV per atom
* density: 8.11 g/cm3
* crystal system: tetragonal

---

Record 8
A relaxed structure of SrCoTc4, computed with PBE.

Unit cell a=5.2917 b=5.2917 c=5.2917 alpha=60.00 beta=60.00 gamma=60.00
With the nearest neighbours (Å) after each atom.
Atoms (fractional coordinates):
Sr1 0.0000 0.0000 0.0000  12 Tc 3.10, 4 Co 3.24
Co1 0.2500 0.2500 0.2500  12 Tc 3.10, 4 Sr 3.24
Tc1 0.1271 0.6243 0.6243  6 Tc 2.63-2.66
Tc2 0.6243 0.1271 0.6243  6 Tc 2.63-2.66
Tc3 0.6243 0.6243 0.1271  6 Tc 2.63-2.66
Tc4 0.6243 0.6243 0.6243  6 Tc 2.63-2.66

Results
* density: 8.54 g/cm3
* crystal system: cubic

---

Record 9
A relaxed structure of SrCoTc2, computed with PBE.

Unit cell a=5.4148 b=9.9087 c=2.6950 alpha=90.00 beta=109.24 gamma=90.00
With the nearest neighbours (Å) after each atom.
Atoms (fractional coordinates):
Sr1 0.0000 0.0000 0.0000  2 Sr 2.69, 2 Co 2.71, 4 Tc 2.93
Sr2 0.5000 0.5000 0.0000  2 Sr 2.69, 2 Co 2.71, 4 Tc 2.93
Co1 0.0000 0.5000 0.0000  2 Co 2.69, 2 Sr 2.71, 4 Tc 2.93
Co2 0.5000 0.0000 0.0000  2 Co 2.69, 2 Sr 2.71, 4 Tc 2.93
Tc1 0.2500 0.2500 0.5000  4 Tc 2.69-2.71, 2 Sr 2.93, 2 Co 2.93
Tc2 0.2500 0.7500 0.5000  4 Tc 2.69-2.71, 2 Co 2.93, 2 Sr 2.93
Tc3 0.7500 0.2500 0.5000  4 Tc 2.69-2.71, 2 Co 2.93, 2 Sr 2.93
Tc4 0.7500 0.7500 0.5000  4 Tc 2.69-2.71, 2 Co 2.93, 2 Sr 2.93

Results
* excess energy over the best structure of this formula in the dataset: 467.1 meV per atom
* density: 8.33 g/cm3
* crystal system: monoclinic

---

Record 10
A relaxed structure of Sr2CoTc, computed with PBE.

Unit cell a=4.0006 b=4.8607 c=11.2739 alpha=90.00 beta=90.00 gamma=90.00
With the nearest neighbours (Å) after each atom.
Atoms (fractional coordinates):
Sr1 0.0000 0.0000 0.0000  3 Tc 3.21-3.54, 4 Co 3.33
Sr2 0.0000 0.5000 0.5000  3 Tc 3.21-3.54, 4 Co 3.33
Sr3 0.5000 0.0000 0.2830  3 Co 3.22-3.52, 4 Tc 3.33
Sr4 0.5000 0.5000 0.7830  3 Co 3.22-3.52, 4 Tc 3.33
Co1 0.5000 0.0000 0.5954  2 Tc 2.25
Co2 0.5000 0.5000 0.0954  2 Tc 2.25
Tc1 0.0000 0.0000 0.6862  2 Co 2.25
Tc2 0.0000 0.5000 0.1862  2 Co 2.25

Results
* excess energy over the best structure of this formula in the dataset: 189.3 meV per atom
* density: 5.03 g/cm3
* crystal system: orthorhombic

---

Record 11
A relaxed structure of SrCoTc2, computed with PBE.

Unit cell a=3.1889 b=3.1889 c=7.3396 alpha=90.00 beta=90.00 gamma=90.00
With the nearest neighbours (Å) after each atom.
Atoms (fractional coordinates):
Sr1 0.0000 0.0000 0.0000  4 Sr 3.19, 8 Tc 3.36
Co1 0.0000 0.0000 0.5000  8 Tc 2.54
Tc1 0.5000 0.5000 0.3402  1 Tc 2.35, 4 Co 2.54
Tc2 0.5000 0.5000 0.6598  1 Tc 2.35, 4 Co 2.54

Results
* excess energy over the best structure of this formula in the dataset: 138.6 meV per atom
* density: 7.62 g/cm3
* crystal system: tetragonal

---

Record 12
A relaxed structure of SrCoTc2, computed with PBE.

Unit cell a=5.3601 b=9.8349 c=2.6141 alpha=90.00 beta=90.00 gamma=90.00
With the nearest neighbours (Å) after each atom.
Atoms (fractional coordinates):
Sr1 0.0000 0.0000 0.0000  2 Sr 2.61, 2 Co 2.68
Sr2 0.5000 0.5000 0.0000  2 Sr 2.61, 2 Co 2.68
Co1 0.0000 0.5000 0.0000  2 Co 2.61, 2 Sr 2.68
Co2 0.5000 0.0000 0.0000  2 Co 2.61, 2 Sr 2.68
Tc1 0.2500 0.2500 0.5000  4 Tc 2.61-2.68
Tc2 0.2500 0.7500 0.5000  4 Tc 2.61-2.68
Tc3 0.7500 0.2500 0.5000  4 Tc 2.61-2.68
Tc4 0.7500 0.7500 0.5000  4 Tc 2.61-2.68

Results
* excess energy over the best structure of this formula in the dataset: 528.3 meV per atom
* density: 8.26 g/cm3
* crystal system: orthorhombic

---

Record 13
A relaxed structure of Sr2CoTc, computed with PBE.

Unit cell a=11.2374 b=11.2374 c=4.3793 alpha=90.00 beta=90.00 gamma=90.00
With the nearest neighbours (Å) after each atom.
Atoms (fractional coordinates):
Sr1 0.0688 0.7500 0.1250  2 Co 2.96
Sr2 0.2500 0.0688 0.8750  2 Co 2.96
Sr3 0.2500 0.4312 0.3750  2 Co 2.96
Sr4 0.4312 0.7500 0.6250  2 Co 2.96
Sr5 0.5688 0.2500 0.6250  2 Co 2.96
Sr6 0.7500 0.5688 0.3750  2 Co 2.96
Sr7 0.7500 0.9312 0.8750  2 Co 2.96
Sr8 0.9312 0.2500 0.1250  2 Co 2.96
Co1 0.0000 0.0000 0.0000  2 Tc 2.19
Co2 0.0000 0.5000 0.2500  2 Tc 2.19
Co3 0.5000 0.0000 0.7500  2 Tc 2.19
Co4 0.5000 0.5000 0.5000  2 Tc 2.19
Tc1 0.0000 0.0000 0.5000  2 Co 2.19
Tc2 0.0000 0.5000 0.7500  2 Co 2.19
Tc3 0.5000 0.0000 0.2500  2 Co 2.19
Tc4 0.5000 0.5000 0.0000  2 Co 2.19

Results
* excess energy over the best structure of this formula in the dataset: 465.3 meV per atom
* density: 3.99 g/cm3
* crystal system: tetragonal

---

Record 14
A relaxed structure of SrCoTc2, computed with PBE.

Unit cell a=6.4708 b=6.4708 c=6.4708 alpha=90.00 beta=90.00 gamma=90.00
With the nearest neighbours (Å) after each atom.
Atoms (fractional coordinates):
Sr1 0.0000 0.0000 0.0000  4 Tc 2.80, 4 Co 2.80
Sr2 0.0000 0.5000 0.5000  4 Co 2.80, 4 Tc 2.80
Sr3 0.5000 0.0000 0.5000  4 Co 2.80, 4 Tc 2.80
Sr4 0.5000 0.5000 0.0000  4 Co 2.80, 4 Tc 2.80
Co1 0.2500 0.2500 0.7500  4 Tc 2.80, 4 Sr 2.80
Co2 0.2500 0.7500 0.2500  4 Tc 2.80, 4 Sr 2.80
Co3 0.7500 0.2500 0.2500  4 Tc 2.80, 4 Sr 2.80
Co4 0.7500 0.7500 0.7500  4 Tc 2.80, 4 Sr 2.80
Tc1 0.0000 0.0000 0.5000  4 Co 2.80, 4 Tc 2.80
Tc2 0.0000 0.5000 0.0000  4 Co 2.80, 4 Tc 2.80
Tc3 0.2500 0.2500 0.2500  4 Tc 2.80, 4 Sr 2.80
Tc4 0.2500 0.7500 0.7500  4 Tc 2.80, 4 Sr 2.80
Tc5 0.5000 0.0000 0.0000  4 Co 2.80, 4 Tc 2.80
Tc6 0.5000 0.5000 0.5000  4 Co 2.80, 4 Tc 2.80
Tc7 0.7500 0.2500 0.7500  4 Tc 2.80, 4 Sr 2.80
Tc8 0.7500 0.7500 0.2500  4 Tc 2.80, 4 Sr 2.80

Results
* excess energy over the best structure of this formula in the dataset: 355.4 meV per atom
* density: 8.40 g/cm3
* crystal system: cubic

---

Record 15
A relaxed structure of SrCo3Tc, computed with PBE.

Unit cell a=4.5742 b=4.5742 c=4.5742 alpha=90.00 beta=90.00 gamma=90.00
With the nearest neighbours (Å) after each atom.
Atoms (fractional coordinates):
Sr1 0.0000 0.0000 0.0000  12 Co 3.23
Co1 0.0000 0.5000 0.5000  2 Tc 2.29
Co2 0.5000 0.0000 0.5000  2 Tc 2.29
Co3 0.5000 0.5000 0.0000  2 Tc 2.29
Tc1 0.5000 0.5000 0.5000  6 Co 2.29

Results
* excess energy over the best structure of this formula in the dataset: 0.0 meV per atom
* density: 6.29 g/cm3
* crystal system: cubic

---

Record 16
A relaxed structure of Sr2CoTc, computed with PBE.

Unit cell a=7.4555 b=7.4555 c=7.4555 alpha=90.00 beta=90.00 gamma=90.00
With the nearest neighbours (Å) after each atom.
Atoms (fractional coordinates):
Sr1 0.2500 0.2500 0.2500  4 Co 3.23, 4 Tc 3.23
Sr2 0.2500 0.2500 0.7500  4 Co 3.23, 4 Tc 3.23
Sr3 0.2500 0.7500 0.2500  4 Co 3.23, 4 Tc 3.23
Sr4 0.2500 0.7500 0.7500  4 Co 3.23, 4 Tc 3.23
Sr5 0.7500 0.2500 0.2500  4 Co 3.23, 4 Tc 3.23
Sr6 0.7500 0.2500 0.7500  4 Co 3.23, 4 Tc 3.23
Sr7 0.7500 0.7500 0.2500  4 Co 3.23, 4 Tc 3.23
Sr8 0.7500 0.7500 0.7500  4 Tc 3.23, 4 Co 3.23
Co1 0.0000 0.0000 0.0000  8 Sr 3.23
Co2 0.0000 0.5000 0.5000  8 Sr 3.23
Co3 0.5000 0.0000 0.5000  8 Sr 3.23
Co4 0.5000 0.5000 0.0000  8 Sr 3.23
Tc1 0.0000 0.0000 0.5000  8 Sr 3.23
Tc2 0.0000 0.5000 0.0000  8 Sr 3.23
Tc3 0.5000 0.0000 0.0000  8 Sr 3.23
Tc4 0.5000 0.5000 0.5000  8 Sr 3.23

Results
* excess energy over the best structure of this formula in the dataset: 770.9 meV per atom
* density: 5.32 g/cm3
* crystal system: cubic

---

Record 17
A relaxed structure of Sr2CoTc, computed with PBE.

Unit cell a=3.4277 b=3.4277 c=28.4051 alpha=90.00 beta=90.00 gamma=120.00
With the nearest neighbours (Å) after each atom.
Atoms (fractional coordinates):
Sr1 0.0000 0.0000 0.2465  3 Co 3.01, 3 Tc 3.16
Sr2 0.0000 0.0000 0.7535  3 Co 3.01, 3 Tc 3.16
Sr3 0.3333 0.6667 0.4202  3 Co 3.01, 3 Tc 3.16
Sr4 0.3333 0.6667 0.9132  3 Co 3.01, 3 Tc 3.16
Sr5 0.6667 0.3333 0.0868  3 Co 3.01, 3 Tc 3.16
Sr6 0.6667 0.3333 0.5798  3 Co 3.01, 3 Tc 3.16
Co1 0.0000 0.0000 0.5000  6 Sr 3.01
Co2 0.3333 0.6667 0.1667  6 Sr 3.01
Co3 0.6667 0.3333 0.8333  6 Sr 3.01
Tc1 0.0000 0.0000 0.0000  6 Sr 3.16, 6 Tc 3.43
Tc2 0.3333 0.6667 0.6667  6 Sr 3.16, 6 Tc 3.43
Tc3 0.6667 0.3333 0.3333  6 Sr 3.16, 6 Tc 3.43

Results
* excess energy over the best structure of this formula in the dataset: 907.7 meV per atom
* density: 5.73 g/cm3
* crystal system: trigonal

---

Record 18
A relaxed structure of SrCoTc2, computed with PBE.

Unit cell a=2.8114 b=2.8114 c=29.2145 alpha=90.00 beta=90.00 gamma=120.00
With the nearest neighbours (Å) after each atom.
Atoms (fractional coordinates):
Sr1 0.0000 0.0000 0.0000  6 Sr 2.81
Sr2 0.3333 0.6667 0.6667  6 Sr 2.81
Sr3 0.6667 0.3333 0.3333  6 Sr 2.81
Co1 0.0000 0.0000 0.5000  6 Tc 2.57, 6 Co 2.81
Co2 0.3333 0.6667 0.1667  6 Tc 2.57, 6 Co 2.81
Co3 0.6667 0.3333 0.8333  6 Tc 2.57, 6 Co 2.81
Tc1 0.0000 0.0000 0.2348  3 Co 2.57, 6 Tc 2.81
Tc2 0.0000 0.0000 0.7652  3 Co 2.57, 6 Tc 2.81
Tc3 0.3333 0.6667 0.4318  3 Co 2.57, 6 Tc 2.81
Tc4 0.3333 0.6667 0.9015  3 Co 2.57, 6 Tc 2.81
Tc5 0.6667 0.3333 0.0985  3 Co 2.57, 6 Tc 2.81
Tc6 0.6667 0.3333 0.5682  3 Co 2.57, 6 Tc 2.81

Results
* excess energy over the best structure of this formula in the dataset: 455.2 meV per atom
* density: 8.53 g/cm3
* crystal system: trigonal

---

Record 19
A relaxed structure of SrY2CoTc, computed with PBE.

Unit cell a=5.4198 b=5.4198 c=4.6321 alpha=90.00 beta=90.00 gamma=90.00
With the nearest neighbours (Å) after each atom.
Atoms (fractional coordinates):
Sr1 0.0000 0.0000 0.0000  8 Y 3.56, 4 Co 3.83
Y1 0.0000 0.5000 0.5000  2 Tc 2.71
Y2 0.5000 0.0000 0.5000  2 Tc 2.71
Co1 0.5000 0.5000 0.0000  2 Tc 2.32
Tc1 0.5000 0.5000 0.5000  2 Co 2.32

Results
* density: 5.15 g/cm3
* crystal system: tetragonal

---

Record 20
A relaxed structure of SrZrCo2Tc, computed with PBE.

Unit cell a=4.7912 b=4.7912 c=4.7762 alpha=90.00 beta=90.00 gamma=90.00
With the nearest neighbours (Å) after each atom.
Atoms (fractional coordinates):
Sr1 0.0000 0.0000 0.0000  8 Co 3.38, 4 Zr 3.39
Zr1 0.5000 0.5000 0.0000  2 Tc 2.39
Co1 0.0000 0.5000 0.5000  2 Tc 2.40
Co2 0.5000 0.0000 0.5000  2 Tc 2.40
Tc1 0.5000 0.5000 0.5000  2 Zr 2.39, 4 Co 2.40

Results
* density: 5.98 g/cm3
* crystal system: tetragonal

---

The following raw total energy values (in eV/cell) correspond, in order, to the records above: -27.59; -67.77; -37.65; -21.22; -50.55; -53.87; -25.39; -45.93; -51.43; -38.22; -27.03; -50.94; -72.02; -104.65; -29.33; -67.13; -48.71; -77.29; -30.12; -31.25.
The following ΔH_f (0 K) values (in meV/atom) correspond, in order, to the records above: 483.6; 973.4; 503.1; 2429.7; 1060.7; 646.7; 1031.4; 720.9; 950.8; 431.4; 622.2; 1011.9; 707.4; 839.1; 807.2; 1013.0; 1149.8; 938.8; 391.5; 711.7.